Entry 1:
Al2SiSb2 after structural relaxation. Source: the Alexandria database, functional PBE. Values from VASP.

Quantum ESPRESSO input file:
```
&SYSTEM
  ibrav = 0, nat = 5, ntyp = 3
/
ATOMIC_SPECIES
Al 26.98 Al.upf
Si 28.09 Si.upf
Sb 121.76 Sb.upf
CELL_PARAMETERS angstrom
-2.795 2.795 3.799
2.795 -2.795 3.799
2.795 2.795 -3.799
ATOMIC_POSITIONS crystal
Al 0.171 0.171 0.000
Al 0.829 0.829 0.000
Si 0.500 0.500 0.000
Sb 0.250 0.750 0.500
Sb 0.750 0.250 0.500
```

Entry 2:
Al2SiSb after structural relaxation. Source: the Alexandria database, functional PBE. Values from VASP.

Quantum ESPRESSO input file:
```
&SYSTEM
  ibrav = 0, nat = 4, ntyp = 3
/
ATOMIC_SPECIES
Al 26.98 Al.upf
Si 28.09 Si.upf
Sb 121.76 Sb.upf
CELL_PARAMETERS angstrom
3.791 0.000 0.000
0.000 4.509 0.000
0.000 0.000 4.564
ATOMIC_POSITIONS crystal
Al 0.000 0.000 0.000
Al 0.500 0.500 0.000
Si 0.000 0.500 0.500
Sb 0.500 0.000 0.500
```

Polymorph energy (0 for the lowest one) = 197 meV/atom

Entry 3:
Al2SiSb after structural relaxation. Source: the Alexandria database, functional PBE. Values from VASP.

Quantum ESPRESSO input file:
```
&SYSTEM
  ibrav = 0, nat = 4, ntyp = 3
/
ATOMIC_SPECIES
Al 26.98 Al.upf
Si 28.09 Si.upf
Sb 121.76 Sb.upf
CELL_PARAMETERS angstrom
1.632 0.942 8.620
-1.632 0.942 8.620
0.000 -1.884 8.620
ATOMIC_POSITIONS crystal
Al 0.237 0.237 0.237
Al 0.763 0.763 0.763
Si 0.500 0.500 0.500
Sb 0.000 0.000 0.000
```

Polymorph energy (0 for the lowest one) = 145 meV/atom

Entry 4:
Al2SiSb after structural relaxation. Source: the Alexandria database, functional PBE. Values from VASP.

Quantum ESPRESSO input file:
```
&SYSTEM
  ibrav = 0, nat = 4, ntyp = 3
/
ATOMIC_SPECIES
Al 26.98 Al.upf
Si 28.09 Si.upf
Sb 121.76 Sb.upf
CELL_PARAMETERS angstrom
4.204 -1.880 0.000
4.204 1.880 0.000
-1.976 0.000 5.215
ATOMIC_POSITIONS crystal
Al 0.000 0.000 0.000
Al 0.217 0.217 0.734
Si 0.724 0.724 0.087
Sb 0.439 0.439 0.457
```

Polymorph energy (0 for the lowest one) = 100 meV/atom

Entry 5:
AlSiSb3 after structural relaxation. Source: the Alexandria database, functional PBE. Values from VASP.

Quantum ESPRESSO input file:
```
&SYSTEM
  ibrav = 0, nat = 5, ntyp = 3
/
ATOMIC_SPECIES
Al 26.98 Al.upf
Si 28.09 Si.upf
Sb 121.76 Sb.upf
CELL_PARAMETERS angstrom
5.230 0.000 0.000
0.000 5.230 0.000
0.000 0.000 5.230
ATOMIC_POSITIONS crystal
Al 0.000 0.000 0.000
Si 0.500 0.500 0.500
Sb 0.000 0.500 0.500
Sb 0.500 0.000 0.500
Sb 0.500 0.500 0.000
```

Polymorph energy (0 for the lowest one) = 0 meV/atom

Entry 6:
AlSi2Sb after structural relaxation. Source: the Alexandria database, functional PBE. Values from VASP.

Quantum ESPRESSO input file:
```
&SYSTEM
  ibrav = 0, nat = 4, ntyp = 3
/
ATOMIC_SPECIES
Al 26.98 Al.upf
Si 28.09 Si.upf
Sb 121.76 Sb.upf
CELL_PARAMETERS angstrom
2.102 -2.135 0.000
2.102 2.135 0.000
0.000 0.000 8.432
ATOMIC_POSITIONS crystal
Al 0.000 0.000 0.000
Si 0.500 0.500 0.208
Si 0.500 0.500 0.792
Sb 0.000 0.000 0.500
```

Polymorph energy (0 for the lowest one) = 251 meV/atom

Entry 7:
AlSiSb3 after structural relaxation. Source: the Alexandria database, functional PBE. Values from VASP.

Quantum ESPRESSO input file:
```
&SYSTEM
  ibrav = 0, nat = 5, ntyp = 3
/
ATOMIC_SPECIES
Al 26.98 Al.upf
Si 28.09 Si.upf
Sb 121.76 Sb.upf
CELL_PARAMETERS angstrom
5.238 0.000 0.000
0.000 5.238 0.000
0.000 0.000 5.238
ATOMIC_POSITIONS crystal
Al 0.000 0.000 0.000
Si 0.500 0.500 0.500
Sb 0.000 0.000 0.500
Sb 0.000 0.500 0.000
Sb 0.500 0.000 0.000
```

Polymorph energy (0 for the lowest one) = 138 meV/atom

Entry 8:
Al2SiSb after structural relaxation. Source: the Alexandria database, functional PBE. Values from VASP.

Quantum ESPRESSO input file:
```
&SYSTEM
  ibrav = 0, nat = 8, ntyp = 3
/
ATOMIC_SPECIES
Al 26.98 Al.upf
Si 28.09 Si.upf
Sb 121.76 Sb.upf
CELL_PARAMETERS angstrom
-3.017 3.017 5.856
3.017 -3.017 5.856
3.017 3.017 -5.856
ATOMIC_POSITIONS crystal
Al 0.091 0.625 0.966
Al 0.375 0.341 0.466
Al 0.659 0.125 0.034
Al 0.875 0.909 0.534
Si 0.000 0.000 0.000
Si 0.750 0.250 0.500
Sb 0.250 0.750 0.500
Sb 0.500 0.500 0.000
```

Polymorph energy (0 for the lowest one) = 0 meV/atom

Entry 9:
Al2SiSb after structural relaxation. Source: the Alexandria database, functional PBE. Values from VASP.

Quantum ESPRESSO input file:
```
&SYSTEM
  ibrav = 0, nat = 4, ntyp = 3
/
ATOMIC_SPECIES
Al 26.98 Al.upf
Si 28.09 Si.upf
Sb 121.76 Sb.upf
CELL_PARAMETERS angstrom
-1.793 2.404 4.507
1.793 -2.404 4.507
1.793 2.404 -4.507
ATOMIC_POSITIONS crystal
Al 0.223 0.223 0.000
Al 0.777 0.777 0.000
Si 0.000 0.500 0.500
Sb 0.500 0.000 0.500
```

Polymorph energy (0 for the lowest one) = 172 meV/atom

Entry 10:
AlSi2Sb after structural relaxation. Source: the Alexandria database, functional PBE. Values from VASP.

Quantum ESPRESSO input file:
```
&SYSTEM
  ibrav = 0, nat = 4, ntyp = 3
/
ATOMIC_SPECIES
Al 26.98 Al.upf
Si 28.09 Si.upf
Sb 121.76 Sb.upf
CELL_PARAMETERS angstrom
2.853 0.000 0.000
0.000 3.687 0.000
-1.322 0.000 7.514
ATOMIC_POSITIONS crystal
Al 0.000 0.000 0.000
Si 0.591 0.500 0.187
Si 0.707 0.000 0.408
Sb 0.849 0.500 0.694
```

Polymorph energy (0 for the lowest one) = 135 meV/atom

Entry 11:
Al2SiSb after structural relaxation. Source: the Alexandria database, functional PBE. Values from VASP.

Quantum ESPRESSO input file:
```
&SYSTEM
  ibrav = 0, nat = 4, ntyp = 3
/
ATOMIC_SPECIES
Al 26.98 Al.upf
Si 28.09 Si.upf
Sb 121.76 Sb.upf
CELL_PARAMETERS angstrom
0.000 3.396 3.396
3.396 0.000 3.396
3.396 3.396 0.000
ATOMIC_POSITIONS crystal
Al 0.000 0.000 0.000
Al 0.250 0.250 0.250
Si 0.500 0.500 0.500
Sb 0.750 0.750 0.750
```

Polymorph energy (0 for the lowest one) = 276 meV/atom

Entry 12:
AlSi2Sb after structural relaxation. Source: the Alexandria database, functional PBE. Values from VASP.

Quantum ESPRESSO input file:
```
&SYSTEM
  ibrav = 0, nat = 4, ntyp = 3
/
ATOMIC_SPECIES
Al 26.98 Al.upf
Si 28.09 Si.upf
Sb 121.76 Sb.upf
CELL_PARAMETERS angstrom
0.000 3.363 3.363
3.363 0.000 3.363
3.363 3.363 0.000
ATOMIC_POSITIONS crystal
Al 0.000 0.000 0.000
Si 0.250 0.250 0.250
Si 0.500 0.500 0.500
Sb 0.750 0.750 0.750
```

Polymorph energy (0 for the lowest one) = 344 meV/atom

Calculated values (eV/atom) of uncorrected formation energy for the records, taken in order: 0.3949; 0.3256; 0.2730; 0.2280; 0.6909; 0.4088; 0.8284; 0.1284; 0.3002; 0.2926; 0.4044; 0.5020.